1.
# CePm4Pa3N8

CePm4Pa3N8 after structural relaxation (PBE, the Alexandria database).

Cell: 7.132 7.124 7.131 Å, 120.04 120.00 90.00°
Element x y z (fractional)
1 Ce 0.000 0.500 0.000
2 Pm 0.500 0.000 0.000
3 Pm 0.500 0.000 0.500
4 Pm 0.000 0.000 0.000
5 Pm 0.000 0.000 0.500
6 Pa 0.500 0.500 0.000
7 Pa 0.500 0.500 0.500
8 Pa 0.000 0.500 0.500
9 N 0.247 0.721 0.974
10 N 0.247 0.721 0.494
11 N 0.261 0.283 0.522
12 N 0.727 0.721 0.974
13 N 0.273 0.279 0.026
14 N 0.739 0.717 0.478
15 N 0.753 0.279 0.506
16 N 0.753 0.279 0.026

Output
Volume (Å³/atom): 16.0
E_form (uncorrected) (meV per atom): -1583.2
Symmetry: R-3m
Mass density (g/cm³): 9.89
VASP energy (eV/atom): -9.08

=====

2.
# SbTe2PdW

SbTe2PdW after structural relaxation (PBE, the Alexandria database).

Cell: 5.247 5.247 5.279 Å, 90.00 90.00 90.00°
Element x y z (fractional)
1 Sb 0.000 0.000 0.500
2 Te 0.000 0.500 0.000
3 Te 0.500 0.000 0.000
4 Pd 0.500 0.500 0.500
5 W 0.000 0.000 0.000

Output
Volume (Å³/atom): 29.1
E_form (uncorrected) (meV per atom): 856.9
Distance to the lowest polymorph of the same formula (meV per atom): 0
Symmetry: P4/mmm
Mass density (g/cm³): 7.62
VASP energy (eV/atom): -4.85

=====

3.
# AcLa6Pb

AcLa6Pb after structural relaxation (PBE, the Alexandria database).

Cell: 5.170 5.170 10.580 Å, 90.00 90.00 90.00°
Element x y z (fractional)
1 Ac 0.000 0.000 0.500
2 La 0.500 0.500 0.000
3 La 0.500 0.500 0.500
4 La 0.500 0.000 0.240
5 La 0.500 0.000 0.760
6 La 0.000 0.500 0.240
7 La 0.000 0.500 0.760
8 Pb 0.000 0.000 0.000

Output
Volume (Å³/atom): 35.4
Symmetry: P4/mmm
Mass density (g/cm³): 7.44
VASP energy (eV/atom): -4.84

=====

4.
# Sr2ReTe

Sr2ReTe after structural relaxation (PBE, the Alexandria database).

Cell: 4.596 4.589 6.621 Å, 90.00 90.00 90.00°
Last column: magnetic moment on the atom in μB.
Element x y z (fractional)
1 Re 0.500 0.500 0.838  2.63
2 Sr 0.000 0.000 0.912  -0.02
3 Sr 0.500 0.500 0.334  -0.01
4 Te 0.000 0.000 0.416  0.03

Output
Volume (Å³/atom): 34.9
E_form (uncorrected) (meV per atom): 413.4
Distance to the lowest polymorph of the same formula (meV per atom): 292
Symmetry: P4mm
Mass density (g/cm³): 5.81
VASP energy (eV/atom): -4.32

=====

5.
# Re3SnOs

Re3SnOs after structural relaxation (PBE, the Alexandria database).

Cell: 4.759 4.759 4.759 Å, 90.00 90.00 90.00°
Last column: magnetic moment on the atom in μB.
Element x y z (fractional)
1 Re 0.000 0.500 0.000  0.45
2 Re 0.000 0.000 0.500  0.56
3 Re 0.500 0.000 0.000  0.38
4 Os 0.000 0.000 0.000  -0.02
5 Sn 0.500 0.500 0.500  0.01

Output
Volume (Å³/atom): 21.6
Distance to the lowest polymorph of the same formula (meV per atom): 0
Symmetry: Pm-3m
Mass density (g/cm³): 13.36
VASP energy (eV/atom): -8.48

=====

6.
# Zn3Se

Zn3Se after structural relaxation (PBE, the Alexandria database).

Cell: 3.666 5.910 3.662 Å, 90.00 90.00 90.00°
Element x y z (fractional)
1 Se 0.000 0.000 0.167
2 Zn 0.500 0.000 0.667
3 Zn 0.500 0.500 0.666
4 Zn 0.000 0.500 0.166

Output
Volume (Å³/atom): 19.8
E_form (uncorrected) (meV per atom): 19.5
Distance to the lowest polymorph of the same formula (meV per atom): 186
Symmetry: P4/mmm
Mass density (g/cm³): 5.76
VASP energy (eV/atom): -1.81

=====

7.
# Ca2InAg6

Ca2InAg6 after structural relaxation (PBE, the Alexandria database).

Cell: 6.143 6.151 6.151 Å, 60.11 90.10 90.10°
Element x y z (fractional)
1 Ca 0.846 0.667 0.667
2 Ca 0.154 0.333 0.333
3 In 0.000 0.000 0.000
4 Ag 0.331 0.362 0.819
5 Ag 0.331 0.820 0.820
6 Ag 0.331 0.819 0.362
7 Ag 0.669 0.638 0.181
8 Ag 0.669 0.180 0.180
9 Ag 0.669 0.181 0.638

Output
Volume (Å³/atom): 22.4
Symmetry: C2/m
Mass density (g/cm³): 6.94
VASP energy (eV/atom): -2.87

=====

8.
# LaMg11Rh

LaMg11Rh after structural relaxation (PBE, the Alexandria database).

Cell: 5.660 7.740 7.731 Å, 82.65 68.52 69.54°
Element x y z (fractional)
1 La 0.000 0.000 0.000
2 Mg 0.301 0.225 0.205
3 Mg 0.699 0.775 0.795
4 Mg 0.494 0.775 0.205
5 Mg 0.506 0.225 0.795
6 Mg 0.363 0.637 0.666
7 Mg 0.637 0.363 0.334
8 Mg 0.971 0.363 0.666
9 Mg 0.029 0.637 0.334
10 Mg 0.000 0.500 0.000
11 Mg 0.500 0.000 0.500
12 Mg 0.000 0.000 0.500
13 Rh 0.500 0.500 0.000

Output
Volume (Å³/atom): 22.7
Symmetry: C2/m
Mass density (g/cm³): 2.86
VASP energy (eV/atom): -2.45

=====

9.
# GaSb2Te5

GaSb2Te5 after structural relaxation (PBE, the Alexandria database).

Cell: 6.173 7.898 12.332 Å, 90.00 90.00 113.00°
Element x y z (fractional)
1 Ga 0.788 0.576 0.750
2 Ga 0.212 0.424 0.250
3 Sb 0.823 0.646 0.432
4 Sb 0.823 0.646 0.068
5 Sb 0.177 0.354 0.568
6 Sb 0.177 0.354 0.932
7 Te 0.965 0.929 0.874
8 Te 0.965 0.929 0.626
9 Te 0.340 0.680 0.424
10 Te 0.340 0.680 0.076
11 Te 0.690 0.381 0.250
12 Te 0.310 0.619 0.750
13 Te 0.660 0.320 0.576
14 Te 0.660 0.320 0.924
15 Te 0.035 0.071 0.126
16 Te 0.035 0.071 0.374

Output
Volume (Å³/atom): 34.6
E_form (uncorrected) (meV per atom): -1.1
Symmetry: Cmcm
Mass density (g/cm³): 5.71
VASP energy (eV/atom): -3.37

=====

10.
# LaTbY6

LaTbY6 after structural relaxation (PBE, the Alexandria database).

Cell: 5.894 5.894 9.840 Å, 89.76 115.12 107.35°
Element x y z (fractional)
1 La 0.000 0.000 0.000
2 Tb 0.000 0.500 0.500
3 Y 0.829 0.953 0.299
4 Y 0.346 0.470 0.299
5 Y 0.654 0.530 0.701
6 Y 0.171 0.047 0.701
7 Y 0.296 0.625 0.922
8 Y 0.704 0.375 0.078

Output
Volume (Å³/atom): 36.6
Distance to the lowest polymorph of the same formula (meV per atom): 245
Symmetry: C2/m
Mass density (g/cm³): 4.72
VASP energy (eV/atom): -5.65

=====

11.
# SrIn2PtBr

SrIn2PtBr after structural relaxation (PBE, the Alexandria database).

Cell: 5.049 7.052 5.049 Å, 90.00 90.00 90.00°
Element x y z (fractional)
1 Sr 0.500 0.500 0.500
2 Br 0.000 0.500 0.000
3 Pt 0.000 0.000 0.000
4 In 0.000 0.000 0.500
5 In 0.500 0.000 0.000

Output
Volume (Å³/atom): 36.0
E_form (uncorrected) (meV per atom): -429.4
Symmetry: P4/mmm
Mass density (g/cm³): 5.47
VASP energy (eV/atom): -3.40

=====

12.
# Mn2CuIr

Mn2CuIr after structural relaxation (PBE, the Alexandria database).

Cell: 4.194 4.194 4.194 Å, 60.00 60.00 60.00°
Last column: magnetic moment on the atom in μB.
Element x y z (fractional)
1 Cu 0.500 0.500 0.500  0.10
2 Ir 0.750 0.750 0.750  0.09
3 Mn 0.000 0.000 0.000  2.14
4 Mn 0.250 0.250 0.250  3.28

Output
Volume (Å³/atom): 13.0
Symmetry: F-43m
Mass density (g/cm³): 11.64
VASP energy (eV/atom): -7.69

=====

13.
# Ac2B2Rh5

Ac2B2Rh5 after structural relaxation (PBE, the Alexandria database).

Cell: 4.250 4.250 8.905 Å, 90.00 90.00 90.00°
Element x y z (fractional)
1 Ac 0.000 0.000 0.000
2 Ac 0.000 0.000 0.500
3 B 0.500 0.500 0.249
4 B 0.500 0.500 0.751
5 Rh 0.500 0.000 0.251
6 Rh 0.500 0.000 0.749
7 Rh 0.500 0.500 0.500
8 Rh 0.000 0.500 0.251
9 Rh 0.000 0.500 0.749

Output
Volume (Å³/atom): 17.9
Symmetry: P4/mmm
Mass density (g/cm³): 10.22
VASP energy (eV/atom): -7.05

=====

14.
# MnFeS2Cl

MnFeS2Cl after structural relaxation (PBE, the Alexandria database).

Cell: 4.376 4.376 4.767 Å, 90.00 90.00 90.00°
Last column: magnetic moment on the atom in μB.
Element x y z (fractional)
1 S 0.000 0.500 0.000  0.06
2 S 0.500 0.000 0.000  0.06
3 Mn 0.000 0.000 0.000  0.30
4 Fe 0.500 0.500 0.500  3.38
5 Cl 0.000 0.000 0.500  0.04

Output
Volume (Å³/atom): 18.3
E_form (uncorrected) (meV per atom): 470.7
Distance to the lowest polymorph of the same formula (meV per atom): 0
Symmetry: P4/mmm
Mass density (g/cm³): 3.83
VASP energy (eV/atom): -5.08

=====

15.
# Pr12Er5Tm2

Pr12Er5Tm2 after structural relaxation (PBE, the Alexandria database).

Cell: 11.790 10.781 6.251 Å, 100.25 90.00 123.15°
Element x y z (fractional)
1 Pr 0.118 0.236 0.008
2 Pr 0.062 0.608 0.803
3 Pr 0.546 0.608 0.803
4 Pr 0.143 0.792 0.383
5 Pr 0.649 0.792 0.383
6 Pr 0.443 0.886 0.727
7 Pr 0.557 0.114 0.273
8 Pr 0.857 0.208 0.617
9 Pr 0.351 0.208 0.617
10 Pr 0.938 0.392 0.197
11 Pr 0.454 0.392 0.197
12 Pr 0.882 0.764 0.992
13 Er 0.217 0.433 0.558
14 Er 0.321 0.642 0.141
15 Er 0.000 0.000 0.500
16 Er 0.679 0.358 0.859
17 Er 0.783 0.567 0.442
18 Tm 0.766 0.000 0.000
19 Tm 0.234 0.000 0.000

Output
Volume (Å³/atom): 34.2
Distance to the lowest polymorph of the same formula (meV per atom): 0
Symmetry: C2/m
Mass density (g/cm³): 7.32
VASP energy (eV/atom): -4.59

=====

16.
# CeGd2Hg

CeGd2Hg after structural relaxation (PBE, the Alexandria database).

Cell: 5.405 5.405 5.405 Å, 60.00 60.00 60.00°
Last column: magnetic moment on the atom in μB.
Element x y z (fractional)
1 Gd 0.250 0.250 0.250  7.49
2 Gd 0.750 0.750 0.750  7.49
3 Hg 0.500 0.500 0.500  -0.01
4 Ce 0.000 0.000 0.000  1.40

Output
Volume (Å³/atom): 27.9
Distance to the lowest polymorph of the same formula (meV per atom): 136
Symmetry: Fm-3m
Mass density (g/cm³): 9.74
VASP energy (eV/atom): -8.66

=====

17.
# LaZr2P

LaZr2P after structural relaxation (PBE, the Alexandria database).

Cell: 5.035 5.035 5.035 Å, 60.00 60.00 60.00°
Element x y z (fractional)
1 La 0.500 0.500 0.500
2 Zr 0.000 0.000 0.000
3 Zr 0.750 0.750 0.750
4 P 0.250 0.250 0.250

Output
Volume (Å³/atom): 22.6
Symmetry: F-43m
Mass density (g/cm³): 6.48
VASP energy (eV/atom): -6.89

=====

18.
# LiCa6Mg

LiCa6Mg after structural relaxation (PBE, the Alexandria database).

Cell: 9.472 9.463 6.690 Å, 44.95 44.95 59.90°
Element x y z (fractional)
1 Li 0.000 0.000 0.000
2 Ca 0.000 0.500 0.752
3 Ca 0.749 0.000 0.752
4 Ca 0.500 0.251 0.248
5 Ca 0.251 0.000 0.248
6 Ca 0.000 0.500 0.248
7 Ca 0.500 0.749 0.752
8 Mg 0.500 0.500 0.500

Output
Volume (Å³/atom): 37.4
Distance to the lowest polymorph of the same formula (meV per atom): 83
Symmetry: R-3
Mass density (g/cm³): 1.51
VASP energy (eV/atom): -1.87

=====

19.
# ScSi3Te

ScSi3Te after structural relaxation (PBE, the Alexandria database).

Cell: 5.088 5.088 5.088 Å, 90.00 90.00 90.00°
Element x y z (fractional)
1 Sc 0.500 0.500 0.500
2 Si 0.000 0.500 0.000
3 Si 0.000 0.000 0.500
4 Si 0.500 0.000 0.000
5 Te 0.000 0.000 0.000

Output
Volume (Å³/atom): 26.3
E_form (uncorrected) (meV per atom): 1149.8
Distance to the lowest polymorph of the same formula (meV per atom): 251
Symmetry: Pm-3m
Mass density (g/cm³): 3.24
VASP energy (eV/atom): -4.00

=====

20.
# Ir2PtCl

Ir2PtCl after structural relaxation (PBE, the Alexandria database).

Cell: 3.369 2.773 7.308 Å, 89.91 90.00 90.00°
Element x y z (fractional)
1 Ir 0.000 0.750 0.026
2 Ir 0.500 0.250 0.230
3 Pt 0.000 0.749 0.455
4 Cl 0.500 0.751 0.789

Output
Volume (Å³/atom): 17.1
E_form (uncorrected) (meV per atom): 342.9
Distance to the lowest polymorph of the same formula (meV per atom): 0
Symmetry: Pm
Mass density (g/cm³): 14.96
VASP energy (eV/atom): -6.06